DFT (PBE-GGA) results for crystalline LiCe2SnN at its relaxed geometry.

The calculation puts the total magnetic moment at 1.24 μB per formula unit. As for the total energy: -30.52 eV/cell. For the volume, the calculation gives 106.0 Å³/f.u.

The structure belongs to space group P4/mmm (No. 123); the cell edges are 4.8455, 4.8455 and 4.5160 Å and the angles 90.00°, 90.00° and 90.00°. Symmetry generates all atoms from Li at (0.0000, 0.0000, 0.0000), Ce at (0.0000, 0.5000, 0.5000), Sn at (0.5000, 0.5000, 0.0000) and N at (0.0000, 0.0000, 0.5000).

DFT (PBE-GGA) results for crystalline Fe2Si2Ge at its relaxed geometry.

The calculation puts the total magnetic moment at 0.00 μB per formula unit. As for the total energy: -63.78 eV/cell. The energy above the most stable polymorph in this dataset is 0.193 eV per atom. For the volume, the calculation gives 70.8 Å³/f.u.

The structure belongs to space group I4/mmm (No. 139); the cell edges are 4.0107, 4.0107 and 8.7990 Å and the angles 90.00°, 90.00° and 90.00°. Symmetry generates all atoms from Fe at (0.0000, 0.5000, 0.2500), Si at (0.0000, 0.0000, 0.1322) and Ge at (0.0000, 0.0000, 0.5000).

DFT (PBE-GGA) results for crystalline Sc2SnSe at its relaxed geometry.

The calculation puts the total magnetic moment at 0.00 μB per formula unit. As for the total energy: -67.51 eV/cell. The energy above the most stable polymorph in this dataset is 0.486 eV per atom. For the volume, the calculation gives 133.2 Å³/f.u.

The structure belongs to space group R-3m (No. 166, hexagonal axes); the cell edges are 4.4657, 4.4657 and 23.1415 Å and the angles 90.00°, 90.00° and 120.00°. Symmetry generates all atoms from Sc at (0.0000, 0.0000, 0.1063), Sn at (0.0000, 0.0000, 0.5000) and Se at (0.0000, 0.0000, 0.0000).

DFT (PBE-GGA) results for crystalline CaI2Cl2 at its relaxed geometry.

The calculation puts the total magnetic moment at 0.00 μB per formula unit. As for the total energy: -29.46 eV/cell. For the volume, the calculation gives 209.3 Å³/f.u.

The structure belongs to space group P4/mbm (No. 127); the cell edges are 7.2605, 7.2605 and 7.9394 Å and the angles 90.00°, 90.00° and 90.00°. Symmetry generates all atoms from Ca at (0.0000, 0.0000, 0.0000), I at (0.1322, 0.3678, 0.5000) and Cl at (0.1863, 0.6863, 0.0000).